No. 1
The following is a DFT calculation (PBE) of an optimized crystal structure of KTa2Cl.

ΔE_f (raw) = 0.3772 eV per atom
crystal system = orthorhombic
electronic total energy = -25.1 eV for the cell shown
ρ = 8.23 Mg/m³
volume = 88.0 Å³/cell
density of states at the Fermi level = 2.75 states/eV/cell

```
KTa2Cl
1.0
6.848 -0.016 -0.048
6.221 2.864 -0.048
1.700 0.370 4.452
Cl Ta K
1 2 1
direct
0.750 0.750 0.750
0.035 0.035 0.965
0.465 0.465 0.535
0.250 0.250 0.250
```



No. 2
The following is a DFT calculation (PBE) of an optimized crystal structure of KTa2Cl.

ΔE_f (raw) = 0.6875 eV per atom
crystal system = tetragonal
electronic total energy = -47.8 eV for the cell shown
ρ = 6.69 Mg/m³
volume = 216.7 Å³/cell
density of states at the Fermi level = 9.00 states/eV/cell

```
KTa2Cl
1.0
3.867 0.000 0.000
0.000 3.867 0.000
1.933 1.933 14.489
Cl K Ta
2 2 4
direct
0.500 0.500 0.000
0.250 0.750 0.500
0.000 0.000 0.000
0.750 0.250 0.500
0.626 0.125 0.250
0.375 0.374 0.750
0.124 0.625 0.250
0.875 0.876 0.750
```



No. 3
The following is a DFT calculation (PBE) of an optimized crystal structure of K2TaCl.

ΔE_f (raw) = 0.9384 eV per atom
crystal system = cubic
electronic total energy = -12.1 eV for the cell shown
ρ = 3.42 Mg/m³
volume = 143.0 Å³/cell
density of states at the Fermi level = 6.86 states/eV/cell

```
K2TaCl
1.0
5.869 0.000 0.000
2.935 5.083 0.000
2.935 1.694 4.792
Ta Cl K
1 1 2
direct
0.750 0.750 0.750
0.500 0.500 0.500
0.000 0.000 0.000
0.250 0.250 0.250
```



No. 4
The following is a DFT calculation (PBE) of an optimized crystal structure of KTa3Cl.

ΔE_f (raw) = 1.4803 eV per atom
crystal system = cubic
electronic total energy = -31.1 eV for the cell shown
ρ = 9.67 Mg/m³
volume = 106.0 Å³/cell
density of states at the Fermi level = 10.41 states/eV/cell

```
KTa3Cl
1.0
-1.085 3.882 2.482
-4.595 -0.725 -0.873
-0.336 -2.610 3.935
Ta K Cl
3 1 1
direct
0.000 0.500 0.000
0.000 0.000 0.500
0.500 0.000 0.000
0.500 0.500 0.500
0.000 0.000 0.000
```



No. 5
The following is a DFT calculation (PBE) of an optimized crystal structure of KTa2Cl.

ΔE_f (raw) = 0.0235 eV per atom
crystal system = monoclinic
electronic total energy = -26.6 eV for the cell shown
ρ = 7.45 Mg/m³
volume = 97.3 Å³/cell
density of states at the Fermi level = 3.44 states/eV/cell

```
KTa2Cl
1.0
3.052 0.000 0.000
0.000 3.562 0.012
0.000 1.706 8.959
K Ta Cl
1 2 1
direct
0.500 0.708 0.713
0.000 0.032 0.067
0.500 0.439 0.238
0.000 0.321 0.482
```



No. 6
The following is a DFT calculation (PBE) of an optimized crystal structure of K2TaCl.

ΔE_f (raw) = 0.4062 eV per atom
crystal system = monoclinic
electronic total energy = -14.3 eV for the cell shown
ρ = 3.93 Mg/m³
volume = 124.4 Å³/cell
density of states at the Fermi level = 2.92 states/eV/cell

```
K2TaCl
1.0
6.804 0.000 -0.008
6.062 3.089 -0.008
2.541 0.610 5.918
K Ta Cl
2 1 1
direct
0.228 0.228 0.276
0.045 0.045 0.924
0.436 0.436 0.517
0.790 0.790 0.784
```



No. 7
The following is a DFT calculation (PBE) of an optimized crystal structure of K3TaCl.

ΔE_f (raw) = 0.8078 eV per atom
crystal system = cubic
electronic total energy = -13.0 eV for the cell shown
ρ = 1.89 Mg/m³
volume = 293.7 Å³/cell
density of states at the Fermi level = 2.37 states/eV/cell

```
K3TaCl
1.0
6.647 0.000 0.000
0.000 6.647 0.000
0.000 0.000 6.647
K Ta Cl
3 1 1
direct
0.000 0.000 0.500
0.000 0.500 0.000
0.500 0.000 0.000
0.000 0.000 0.000
0.500 0.500 0.500
```



No. 8
The following is a DFT calculation (PBE) of an optimized crystal structure of KTa2Cl.

ΔE_f (raw) = 0.1631 eV per atom
crystal system = tetragonal
electronic total energy = -26.0 eV for the cell shown
ρ = 7.33 Mg/m³
volume = 98.8 Å³/cell
density of states at the Fermi level = 3.33 states/eV/cell

```
KTa2Cl
1.0
-2.953 0.748 -1.256
-1.408 -2.218 1.989
-1.088 6.406 6.374
Ta Cl K
2 1 1
direct
0.000 0.000 0.071
0.500 0.500 0.229
0.000 0.000 0.491
0.500 0.500 0.708
```



No. 9
The following is a DFT calculation (PBE) of an optimized crystal structure of K2TaCl.

ΔE_f (raw) = 0.5726 eV per atom
crystal system = tetragonal
electronic total energy = -27.2 eV for the cell shown
ρ = 2.70 Mg/m³
volume = 362.6 Å³/cell
density of states at the Fermi level = 5.78 states/eV/cell

```
K2TaCl
1.0
12.289 0.000 0.000
0.000 12.289 0.000
6.144 6.144 2.401
K Cl Ta
4 2 2
direct
0.464 0.125 0.250
0.375 0.536 0.750
0.286 0.625 0.250
0.875 0.714 0.750
0.250 0.750 0.500
0.500 0.500 0.000
0.000 0.000 0.000
0.750 0.250 0.500
```



No. 10
The following is a DFT calculation (PBE) of an optimized crystal structure of K2TaCl.

ΔE_f (raw) = 0.8174 eV per atom
crystal system = cubic
electronic total energy = -12.6 eV for the cell shown
ρ = 3.26 Mg/m³
volume = 150.3 Å³/cell
density of states at the Fermi level = 5.39 states/eV/cell

```
K2TaCl
1.0
0.000 4.220 4.220
4.220 0.000 4.220
4.220 4.220 0.000
Cl K Ta
1 2 1
direct
0.000 0.000 0.000
0.250 0.250 0.250
0.750 0.750 0.750
0.500 0.500 0.500
```



No. 11
The following is a DFT calculation (PBE) of an optimized crystal structure of KTa2Cl.

ΔE_f (raw) = 2.1136 eV per atom
crystal system = cubic
electronic total energy = -18.2 eV for the cell shown
ρ = 8.48 Mg/m³
volume = 85.5 Å³/cell
density of states at the Fermi level = 4.05 states/eV/cell

```
KTa2Cl
1.0
-3.279 -3.683 0.361
-1.948 -1.153 4.395
-4.750 1.002 0.938
Ta K Cl
2 1 1
direct
0.250 0.250 0.250
0.750 0.750 0.750
0.500 0.500 0.500
0.000 0.000 0.000
```



No. 12
The following is a DFT calculation (PBE) of an optimized crystal structure of KTa2Cl.

ΔE_f (raw) = 0.6984 eV per atom
crystal system = tetragonal
electronic total energy = -23.9 eV for the cell shown
ρ = 6.29 Mg/m³
volume = 115.3 Å³/cell
density of states at the Fermi level = 3.25 states/eV/cell

```
KTa2Cl
1.0
-1.152 -6.956 -4.204
2.563 -3.884 -6.762
1.278 4.221 6.923
Ta K Cl
2 1 1
direct
0.500 0.500 0.000
0.000 0.000 0.000
0.750 0.250 0.500
0.250 0.750 0.500
```